Record 1
# Sr2Zn4Pd3Pt (PBE-GGA, relaxed)
# Calculated formation energy: -0.5890 eV per atom
# Magnetization: 0.0 μB/f.u.
# ρ: 7808 kg/m³
# DOS at the Fermi energy: 0.376 states/eV/atom
data_Sr2Zn4Pd3Pt
_cell_length_a 4.399
_cell_length_b 4.399
_cell_length_c 10.456
_cell_angle_alpha 90.00
_cell_angle_beta 90.00
_cell_angle_gamma 90.00
_symmetry_space_group_name_H-M 'P -4 m 2'
_symmetry_Int_Tables_number 115
_symmetry_space_group_name_Hall 'P -4 -2'
loop_
_atom_site_label
_atom_site_type_symbol
_atom_site_fract_x
_atom_site_fract_y
_atom_site_fract_z
Sr1 Sr 0.000 0.500 0.242
Zn1 Zn 0.000 0.000 0.500
Zn2 Zn 0.000 0.500 0.872
Zn3 Zn 0.500 0.500 0.500
Pd1 Pd 0.000 0.000 0.000
Pd2 Pd 0.000 0.500 0.628
Pt1 Pt 0.500 0.500 0.000

Record 2
# ReF (PBE-GGA, relaxed)
# Energy above the lowest structure with this stoichiometry: 41.4 kJ/mol of atoms
# Formation energy without anion corrections: -579 meV per atom
# Magnetization: 0.0 μB/f.u.
# ρ: 12255 kg/m³
# DOS at the Fermi energy: 0.509 states/eV/atom
data_ReF
_cell_length_a 7.3691
_cell_length_b 7.3691
_cell_length_c 3.5473
_cell_angle_alpha 90.00
_cell_angle_beta 90.00
_cell_angle_gamma 120.00
_symmetry_space_group_name_H-M 'P 63/m'
_symmetry_Int_Tables_number 176
_symmetry_space_group_name_Hall '-P 6c'
loop_
_atom_site_label
_atom_site_type_symbol
_atom_site_fract_x
_atom_site_fract_y
_atom_site_fract_z
Re1 Re 0.0768 0.4539 0.2500
F1 F 0.1206 0.8547 0.7500